First-principles (PBE) data for an optimized crystal structure of VNi4Ir, as listed in the Alexandria database.

Lattice parameters (Å, degrees): 7.4695 7.4695 4.0427 90.00 90.00 141.13
Sites, in units of the cell vectors:
V1 0.1233 0.8767 0.7500
V2 0.8767 0.1233 0.2500
Ni1 0.0422 0.4580 0.7500
Ni2 0.2096 0.2927 0.7500
Ni3 0.2927 0.2096 0.2500
Ni4 0.4580 0.0422 0.2500
Ni5 0.5420 0.9578 0.7500
Ni6 0.7073 0.7904 0.7500
Ni7 0.7904 0.7073 0.2500
Ni8 0.9578 0.5420 0.2500
Ir1 0.3743 0.6257 0.2500
Ir2 0.6257 0.3743 0.7500

Output
energy above the most stable polymorph in this dataset = 0.0160 eV/atom
ΔE_f = -0.162 eV/atom
N(E_F) = 10.7 states/eV/cell
crystal system = orthorhombic
space group = Cmcm